# Li2SmAg2 | the Alexandria database | PBE | relaxed
# ΔH_f (0 K) in eV per atom: -0.195
# Total magnetization in μB per formula unit: 0.000
# VASP energy in eV for the cell shown: -15.2
# Calculated density in g/cm³: 6.0
# Distance to the lowest polymorph of the same formula in meV/atom: 0.0
data_Li2SmAg2
_chemical_formula_sum 'Li2 Sm1 Ag2'
_symmetry_space_group_name_H-M 'P 4/m m m'
_symmetry_Int_Tables_number 123
_symmetry_space_group_name_Hall '-P 4 2'
_cell_length_a 4.003
_cell_length_b 4.003
_cell_length_c 6.577
_cell_angle_alpha 90.00
_cell_angle_beta 90.00
_cell_angle_gamma 90.00
loop_
_atom_site_label
_atom_site_fract_x
_atom_site_fract_y
_atom_site_fract_z
Li1 0.000 0.500 0.000
Sm1 0.000 0.000 0.500
Ag1 0.500 0.500 0.282

---

# LiSm5Ag6 | the Alexandria database | PBE | relaxed
# ΔH_f (0 K) in eV per atom: -0.233
# Total magnetization in μB per formula unit: 0.000
# VASP energy in eV for the cell shown: -90.8
# Calculated density in g/cm³: 8.0
data_LiSm5Ag6
_chemical_formula_sum 'Li2 Sm10 Ag12'
_symmetry_space_group_name_H-M 'I m m m'
_symmetry_Int_Tables_number 71
_symmetry_space_group_name_Hall '-I 2 2'
_cell_length_a 5.176
_cell_length_b 7.301
_cell_length_c 15.518
_cell_angle_alpha 90.00
_cell_angle_beta 90.00
_cell_angle_gamma 90.00
loop_
_atom_site_label
_atom_site_fract_x
_atom_site_fract_y
_atom_site_fract_z
Li1 0.000 0.000 0.000
Sm1 0.000 0.000 0.334
Sm2 0.000 0.500 0.000
Sm3 0.000 0.500 0.333
Ag1 0.000 0.241 0.161
Ag2 0.000 0.260 0.500

---

# Li2Sm3Ag4 | the Alexandria database | PBE | relaxed
# ΔH_f (0 K) in eV per atom: -0.195
# Total magnetization in μB per formula unit: 0.000
# VASP energy in eV for the cell shown: -62.3
# Calculated density in g/cm³: 7.2
# Distance to the lowest polymorph of the same formula in meV/atom: 0.0
data_Li2Sm3Ag4
_chemical_formula_sum 'Li4 Sm6 Ag8'
_symmetry_space_group_name_H-M 'C 1 2/m 1'
_symmetry_Int_Tables_number 12
_cell_length_a 10.757
_cell_length_b 4.767
_cell_length_c 8.918
_cell_angle_alpha 90.00
_cell_angle_beta 116.08
_cell_angle_gamma 90.00
loop_
_symmetry_equiv_pos_as_xyz
'x,y,z'
'-x,-y,-z'
'-x,y,-z'
'x,-y,z'
'x+1/2,y+1/2,z'
'-x+1/2,-y+1/2,-z'
'-x+1/2,y+1/2,-z'
'x+1/2,-y+1/2,z'
loop_
_atom_site_label
_atom_site_fract_x
_atom_site_fract_y
_atom_site_fract_z
Li1 0.152 0.000 0.319
Sm1 0.000 0.500 0.000
Sm2 0.149 0.000 0.683
Ag1 0.077 0.500 0.399
Ag2 0.220 0.000 0.065

---

# Li3Sm2Ag4 | the Alexandria database | PBE | relaxed
# ΔH_f (0 K) in eV per atom: -0.183
# Total magnetization in μB per formula unit: 0.000
# VASP energy in eV for the cell shown: -112.9
# Calculated density in g/cm³: 6.7
data_Li3Sm2Ag4
_chemical_formula_sum 'Li12 Sm8 Ag16'
_symmetry_space_group_name_H-M 'C m c e'
_symmetry_Int_Tables_number 64
_symmetry_space_group_name_Hall '-C 2ac 2'
_cell_length_a 5.756
_cell_length_b 15.958
_cell_length_c 8.098
_cell_angle_alpha 90.00
_cell_angle_beta 90.00
_cell_angle_gamma 90.00
loop_
_atom_site_label
_atom_site_fract_x
_atom_site_fract_y
_atom_site_fract_z
Li1 0.000 0.000 0.000
Li2 0.250 0.220 0.250
Sm1 0.000 0.111 0.591
Ag1 0.000 0.184 0.971
Ag2 0.250 0.055 0.250

---

# LiSm2Ag3 | the Alexandria database | PBE | relaxed
# ΔH_f (0 K) in eV per atom: -0.188
# Total magnetization in μB per formula unit: 0.000
# VASP energy in eV for the cell shown: -42.1
# Calculated density in g/cm³: 7.7
# Distance to the lowest polymorph of the same formula in meV/atom: 23.5
data_LiSm2Ag3
_chemical_formula_sum 'Li2 Sm4 Ag6'
_symmetry_space_group_name_H-M 'C m m m'
_symmetry_Int_Tables_number 65
_symmetry_space_group_name_Hall '-C 2 2'
_cell_length_a 5.101
_cell_length_b 15.093
_cell_length_c 3.540
_cell_angle_alpha 90.00
_cell_angle_beta 90.00
_cell_angle_gamma 90.00
loop_
_atom_site_label
_atom_site_fract_x
_atom_site_fract_y
_atom_site_fract_z
Li1 0.000 0.000 0.000
Sm1 0.000 0.330 0.000
Ag1 0.000 0.142 0.500
Ag2 0.000 0.500 0.500

---

# Li4SmAg | the Alexandria database | PBE | relaxed
# ΔH_f (0 K) in eV per atom: 0.006
# Total magnetization in μB per formula unit: 0.000
# VASP energy in eV for the cell shown: -60.8
# Calculated density in g/cm³: 4.2
data_Li4SmAg
_chemical_formula_sum 'Li16 Sm4 Ag4'
_symmetry_space_group_name_H-M 'F -4 3 m'
_symmetry_Int_Tables_number 216
_symmetry_space_group_name_Hall 'F -4 2 3'
_cell_length_a 7.702
_cell_length_b 7.702
_cell_length_c 7.702
_cell_angle_alpha 90.00
_cell_angle_beta 90.00
_cell_angle_gamma 90.00
loop_
_atom_site_label
_atom_site_fract_x
_atom_site_fract_y
_atom_site_fract_z
Li1 0.122 0.122 0.378
Sm1 0.000 0.000 0.000
Ag1 0.250 0.250 0.750

---

# LiSm6Ag5 | the Alexandria database | PBE | relaxed
# ΔH_f (0 K) in eV per atom: -0.218
# Total magnetization in μB per formula unit: 0.000
# VASP energy in eV for the cell shown: -47.1
# Calculated density in g/cm³: 7.8
data_LiSm6Ag5
_chemical_formula_sum 'Li1 Sm6 Ag5'
_symmetry_space_group_name_H-M 'P 1 2/m 1'
_symmetry_Int_Tables_number 10
_cell_length_a 5.269
_cell_length_b 7.368
_cell_length_c 8.355
_cell_angle_alpha 90.00
_cell_angle_beta 108.21
_cell_angle_gamma 90.00
loop_
_symmetry_equiv_pos_as_xyz
'x,y,z'
'-x,-y,-z'
'-x,y,-z'
'x,-y,z'
loop_
_atom_site_label
_atom_site_fract_x
_atom_site_fract_y
_atom_site_fract_z
Li1 0.000 0.000 0.000
Sm1 0.169 0.250 0.338
Sm2 0.500 0.256 0.000
Ag1 0.000 0.500 0.000
Ag2 0.332 0.500 0.665
Ag3 0.342 0.000 0.686

---

# Li7Sm3Ag4 | the Alexandria database | PBE | relaxed
# ΔH_f (0 K) in eV per atom: -0.127
# Total magnetization in μB per formula unit: 0.000
# VASP energy in eV for the cell shown: -81.5
# Calculated density in g/cm³: 5.2
data_Li7Sm3Ag4
_chemical_formula_sum 'Li14 Sm6 Ag8'
_symmetry_space_group_name_H-M 'C 1 2/m 1'
_symmetry_Int_Tables_number 12
_cell_length_a 16.194
_cell_length_b 4.289
_cell_length_c 10.524
_cell_angle_alpha 90.00
_cell_angle_beta 124.94
_cell_angle_gamma 90.00
loop_
_symmetry_equiv_pos_as_xyz
'x,y,z'
'-x,-y,-z'
'-x,y,-z'
'x,-y,z'
'x+1/2,y+1/2,z'
'-x+1/2,-y+1/2,-z'
'-x+1/2,y+1/2,-z'
'x+1/2,-y+1/2,z'
loop_
_atom_site_label
_atom_site_fract_x
_atom_site_fract_y
_atom_site_fract_z
Li1 0.000 0.000 0.000
Li2 0.017 0.500 0.816
Li3 0.163 0.000 0.932
Li4 0.175 0.500 0.507
Sm1 0.000 0.000 0.500
Sm2 0.202 0.500 0.222
Ag1 0.106 0.000 0.321
Ag2 0.154 0.500 0.755

---

# Li2SmAg2 | the Alexandria database | PBE | relaxed
# ΔH_f (0 K) in eV per atom: -0.191
# Total magnetization in μB per formula unit: 0.000
# VASP energy in eV for the cell shown: -30.4
# Calculated density in g/cm³: 5.9
# Distance to the lowest polymorph of the same formula in meV/atom: 4.3
data_Li2SmAg2
_chemical_formula_sum 'Li4 Sm2 Ag4'
_symmetry_space_group_name_H-M 'I 4/m m m'
_symmetry_Int_Tables_number 139
_symmetry_space_group_name_Hall '-I 4 2'
_cell_length_a 3.999
_cell_length_b 3.999
_cell_length_c 13.269
_cell_angle_alpha 90.00
_cell_angle_beta 90.00
_cell_angle_gamma 90.00
loop_
_atom_site_label
_atom_site_fract_x
_atom_site_fract_y
_atom_site_fract_z
Li1 0.000 0.500 0.250
Sm1 0.000 0.000 0.000
Ag1 0.000 0.000 0.392

---

# LiSm2Ag2 | the Alexandria database | PBE | relaxed
# ΔH_f (0 K) in eV per atom: -0.175
# Total magnetization in μB per formula unit: 0.000
# VASP energy in eV for the cell shown: -35.9
# Calculated density in g/cm³: 6.8
# Distance to the lowest polymorph of the same formula in meV/atom: 0.0
data_LiSm2Ag2
_chemical_formula_sum 'Li2 Sm4 Ag4'
_symmetry_space_group_name_H-M 'P 4/m b m'
_symmetry_Int_Tables_number 127
_symmetry_space_group_name_Hall '-P 4 2ab'
_cell_length_a 7.990
_cell_length_b 7.990
_cell_length_c 4.031
_cell_angle_alpha 90.00
_cell_angle_beta 90.00
_cell_angle_gamma 90.00
loop_
_atom_site_label
_atom_site_fract_x
_atom_site_fract_y
_atom_site_fract_z
Li1 0.000 0.000 0.000
Sm1 0.168 0.332 0.500
Ag1 0.130 0.630 0.000

---

# Li2Sm3Ag4 | the Alexandria database | PBE | relaxed
# ΔH_f (0 K) in eV per atom: -0.181
# Total magnetization in μB per formula unit: 0.000
# VASP energy in eV for the cell shown: -62.0
# Calculated density in g/cm³: 7.0
# Distance to the lowest polymorph of the same formula in meV/atom: 14.2
data_Li2Sm3Ag4
_chemical_formula_sum 'Li4 Sm6 Ag8'
_symmetry_space_group_name_H-M 'C 1 2/m 1'
_symmetry_Int_Tables_number 12
_cell_length_a 10.414
_cell_length_b 4.473
_cell_length_c 9.176
_cell_angle_alpha 90.00
_cell_angle_beta 96.69
_cell_angle_gamma 90.00
loop_
_symmetry_equiv_pos_as_xyz
'x,y,z'
'-x,-y,-z'
'-x,y,-z'
'x,-y,z'
'x+1/2,y+1/2,z'
'-x+1/2,-y+1/2,-z'
'-x+1/2,y+1/2,-z'
'x+1/2,-y+1/2,z'
loop_
_atom_site_label
_atom_site_fract_x
_atom_site_fract_y
_atom_site_fract_z
Li1 0.179 0.000 0.284
Sm1 0.000 0.500 0.500
Sm2 0.126 0.000 0.885
Ag1 0.083 0.500 0.141
Ag2 0.215 0.000 0.584

---

# Li4SmAg4 | the Alexandria database | PBE | relaxed
# ΔH_f (0 K) in eV per atom: -0.132
# Total magnetization in μB per formula unit: 0.000
# VASP energy in eV for the cell shown: -49.9
# Calculated density in g/cm³: 6.2
data_Li4SmAg4
_chemical_formula_sum 'Li8 Sm2 Ag8'
_symmetry_space_group_name_H-M 'I 4/m'
_symmetry_Int_Tables_number 87
_symmetry_space_group_name_Hall '-I 4'
_cell_length_a 8.365
_cell_length_b 8.365
_cell_length_c 4.676
_cell_angle_alpha 90.00
_cell_angle_beta 90.00
_cell_angle_gamma 90.00
loop_
_atom_site_label
_atom_site_fract_x
_atom_site_fract_y
_atom_site_fract_z
Li1 0.063 0.365 0.000
Sm1 0.000 0.000 0.000
Ag1 0.140 0.220 0.500

---

# LiSm2Ag2 | the Alexandria database | PBE | relaxed
# ΔH_f (0 K) in eV per atom: -0.057
# Total magnetization in μB per formula unit: 0.000
# VASP energy in eV for the cell shown: -69.4
# Calculated density in g/cm³: 6.8
# Distance to the lowest polymorph of the same formula in meV/atom: 117.4
data_LiSm2Ag2
_chemical_formula_sum 'Li4 Sm8 Ag8'
_symmetry_space_group_name_H-M 'I b a m'
_symmetry_Int_Tables_number 72
_symmetry_space_group_name_Hall '-I 2 2c'
_cell_length_a 6.317
_cell_length_b 13.280
_cell_length_c 6.111
_cell_angle_alpha 90.00
_cell_angle_beta 90.00
_cell_angle_gamma 90.00
loop_
_atom_site_label
_atom_site_fract_x
_atom_site_fract_y
_atom_site_fract_z
Li1 0.000 0.000 0.250
Sm1 0.176 0.351 0.000
Ag1 0.191 0.126 0.000

---

# Li5SmAg6 | the Alexandria database | PBE | relaxed
# ΔH_f (0 K) in eV per atom: -0.186
# Total magnetization in μB per formula unit: 0.000
# VASP energy in eV for the cell shown: -67.2
# Calculated density in g/cm³: 6.4
data_Li5SmAg6
_chemical_formula_sum 'Li10 Sm2 Ag12'
_symmetry_space_group_name_H-M 'C 1 2/m 1'
_symmetry_Int_Tables_number 12
_cell_length_a 14.684
_cell_length_b 6.517
_cell_length_c 4.765
_cell_angle_alpha 90.00
_cell_angle_beta 107.94
_cell_angle_gamma 90.00
loop_
_symmetry_equiv_pos_as_xyz
'x,y,z'
'-x,-y,-z'
'-x,y,-z'
'x,-y,z'
'x+1/2,y+1/2,z'
'-x+1/2,-y+1/2,-z'
'-x+1/2,y+1/2,-z'
'x+1/2,-y+1/2,z'
loop_
_atom_site_label
_atom_site_fract_x
_atom_site_fract_y
_atom_site_fract_z
Li1 0.000 0.000 0.000
Li2 0.161 0.500 0.656
Li3 0.168 0.000 0.668
Sm1 0.000 0.500 0.000
Ag1 0.000 0.218 0.500
Ag2 0.179 0.233 0.176

---

# LiSm2Ag3 | the Alexandria database | PBE | relaxed
# ΔH_f (0 K) in eV per atom: -0.211
# Total magnetization in μB per formula unit: 0.000
# VASP energy in eV for the cell shown: -42.3
# Calculated density in g/cm³: 7.5
# Distance to the lowest polymorph of the same formula in meV/atom: 0.0
data_LiSm2Ag3
_chemical_formula_sum 'Li2 Sm4 Ag6'
_symmetry_space_group_name_H-M 'P -3 m 1'
_symmetry_Int_Tables_number 164
_symmetry_space_group_name_Hall '-P 3 2"'
_cell_length_a 5.1349
_cell_length_b 5.1349
_cell_length_c 12.2547
_cell_angle_alpha 90.00
_cell_angle_beta 90.00
_cell_angle_gamma 120.00
loop_
_atom_site_label
_atom_site_fract_x
_atom_site_fract_y
_atom_site_fract_z
Li1 0.3333 0.6667 0.1681
Sm1 0.0000 0.0000 0.0000
Sm2 0.0000 0.0000 0.5000
Sm3 0.3333 0.6667 0.6838
Ag1 0.0000 0.0000 0.2493
Ag2 0.3333 0.6667 0.4128
Ag3 0.3333 0.6667 0.9370

---

# Li6SmAg6 | the Alexandria database | PBE | relaxed
# ΔH_f (0 K) in eV per atom: -0.153
# Total magnetization in μB per formula unit: 0.000
# VASP energy in eV for the cell shown: -70.6
# Calculated density in g/cm³: 6.1
# Distance to the lowest polymorph of the same formula in meV/atom: 6.4
data_Li6SmAg6
_chemical_formula_sum 'Li12 Sm2 Ag12'
_symmetry_space_group_name_H-M 'I m m m'
_symmetry_Int_Tables_number 71
_symmetry_space_group_name_Hall '-I 2 2'
_cell_length_a 5.291
_cell_length_b 9.319
_cell_length_c 9.328
_cell_angle_alpha 90.00
_cell_angle_beta 90.00
_cell_angle_gamma 90.00
loop_
_atom_site_label
_atom_site_fract_x
_atom_site_fract_y
_atom_site_fract_z
Li1 0.000 0.231 0.000
Li2 0.250 0.250 0.250
Sm1 0.000 0.500 0.500
Ag1 0.000 0.000 0.206
Ag2 0.000 0.154 0.500
Ag3 0.000 0.500 0.152

---

# LiSmAgSn | the Alexandria database | PBE | relaxed
# ΔH_f (0 K) in eV per atom: -0.443
# Total magnetization in μB per formula unit: 0.000
# VASP energy in eV for the cell shown: -61.0
# Calculated density in g/cm³: 6.9
data_LiSmAgSn
_chemical_formula_sum 'Li4 Sm4 Ag4 Sn4'
_symmetry_space_group_name_H-M 'F -4 3 m'
_symmetry_Int_Tables_number 216
_symmetry_space_group_name_Hall 'F -4 2 3'
_cell_length_a 7.182
_cell_length_b 7.182
_cell_length_c 7.182
_cell_angle_alpha 90.00
_cell_angle_beta 90.00
_cell_angle_gamma 90.00
loop_
_atom_site_label
_atom_site_fract_x
_atom_site_fract_y
_atom_site_fract_z
Li1 0.000 0.000 0.000
Sm1 0.000 0.000 0.500
Ag1 0.250 0.250 0.750
Sn1 0.250 0.250 0.250

---

# LiSmAgSn2 | the Alexandria database | PBE | relaxed
# ΔH_f (0 K) in eV per atom: -0.462
# Total magnetization in μB per formula unit: 0.000
# VASP energy in eV for the cell shown: -39.6
# Calculated density in g/cm³: 7.1
data_LiSmAgSn2
_chemical_formula_sum 'Li2 Sm2 Ag2 Sn4'
_symmetry_space_group_name_H-M 'I -4 m 2'
_symmetry_Int_Tables_number 119
_symmetry_space_group_name_Hall 'I -4 -2'
_cell_length_a 4.374
_cell_length_b 4.374
_cell_length_c 12.274
_cell_angle_alpha 90.00
_cell_angle_beta 90.00
_cell_angle_gamma 90.00
loop_
_atom_site_label
_atom_site_fract_x
_atom_site_fract_y
_atom_site_fract_z
Li1 0.000 0.000 0.000
Sm1 0.000 0.500 0.750
Ag1 0.000 0.000 0.500
Sn1 0.000 0.500 0.136

---

# Li4SmAgSn2 | the Alexandria database | PBE | relaxed
# ΔH_f (0 K) in eV per atom: -0.387
# Total magnetization in μB per formula unit: 0.000
# VASP energy in eV for the cell shown: -79.0
# Calculated density in g/cm³: 5.4
data_Li4SmAgSn2
_chemical_formula_sum 'Li12 Sm3 Ag3 Sn6'
_symmetry_space_group_name_H-M 'R -3 m'
_symmetry_Int_Tables_number 166
_symmetry_space_group_name_Hall '-R 3 2"'
_cell_length_a 4.7384
_cell_length_b 4.7384
_cell_length_c 24.7371
_cell_angle_alpha 90.00
_cell_angle_beta 90.00
_cell_angle_gamma 120.00
loop_
_atom_site_label
_atom_site_fract_x
_atom_site_fract_y
_atom_site_fract_z
Li1 0.0000 0.0000 0.1030
Li2 0.0000 0.0000 0.3664
Sm1 0.0000 0.0000 0.5000
Ag1 0.0000 0.0000 0.0000
Sn1 0.0000 0.0000 0.2427

---

# SrLiSmAg | the Alexandria database | PBE | relaxed
# ΔH_f (0 K) in eV per atom: -0.039
# Total magnetization in μB per formula unit: 0.000
# VASP energy in eV for the cell shown: -45.3
# Calculated density in g/cm³: 5.2
data_SrLiSmAg
_chemical_formula_sum 'Sr4 Li4 Sm4 Ag4'
_symmetry_space_group_name_H-M 'F -4 3 m'
_symmetry_Int_Tables_number 216
_symmetry_space_group_name_Hall 'F -4 2 3'
_cell_length_a 7.690
_cell_length_b 7.690
_cell_length_c 7.690
_cell_angle_alpha 90.00
_cell_angle_beta 90.00
_cell_angle_gamma 90.00
loop_
_atom_site_label
_atom_site_fract_x
_atom_site_fract_y
_atom_site_fract_z
Sr1 0.000 0.000 0.000
Li1 0.250 0.250 0.750
Sm1 0.000 0.000 0.500
Ag1 0.250 0.250 0.250